Material: TbSnH6Ir2
Method: DFT, PBE
State: optimized geometry Values from VASP.

```
&SYSTEM
  ibrav = 0, nat = 20, ntyp = 4
/
ATOMIC_SPECIES
Tb 158.93 Tb.upf
Sn 118.71 Sn.upf
H 1.01 H.upf
Ir 192.22 Ir.upf
CELL_PARAMETERS angstrom
7.3548 -1.4007 -0.0269
-2.2907 7.1280 -0.0269
-1.5282 -1.7283 5.0371
ATOMIC_POSITIONS angstrom
Tb -1.7719 5.8995 1.2324
Tb 5.3079 -1.9005 3.7509
Sn 4.0811 0.7241 1.2324
Sn -0.5451 3.2749 3.7509
H -0.6114 2.7437 0.5558
H 1.5022 5.1340 1.9090
H 4.1474 1.2553 4.4275
H 2.0338 -1.1350 3.0743
H 1.2530 0.7889 0.4435
H 3.6705 3.5230 2.0213
H 2.2830 3.2101 4.5398
H -0.1345 0.4760 2.9620
H 0.8376 2.1600 2.0239
H 2.2589 3.7674 0.4409
H 2.6984 1.8390 2.9594
H 1.2771 0.2316 4.5424
Ir 0.8750 -1.3189 4.2885
Ir 4.1880 2.4279 3.2133
Ir 2.6610 5.3178 0.6948
Ir -0.6520 1.5711 1.7700
```

Output
**V**: 247.1 Å³ per cell
**DFT total energy**: -4.90 eV/atom
**Total magnetization**: 0.00 μB per cell

---

Material: TbSnH8Ir2
Method: DFT, PBE
State: optimized geometry Values from VASP.

```
&SYSTEM
  ibrav = 0, nat = 12, ntyp = 4
/
ATOMIC_SPECIES
Tb 158.93 Tb.upf
Sn 118.71 Sn.upf
H 1.01 H.upf
Ir 192.22 Ir.upf
CELL_PARAMETERS angstrom
3.9826 0.0000 0.0000
1.9913 3.4490 0.0000
1.9913 1.1497 8.3695
ATOMIC_POSITIONS angstrom
Tb 3.9826 2.2993 4.1848
Sn 0.0000 0.0000 0.0000
H 1.9913 1.1497 3.7855
H 3.7105 1.1636 2.1244
H 5.9738 3.4490 4.5840
H 5.1022 2.6316 2.1244
H 2.8630 1.9670 6.2452
H 3.1350 3.1028 2.1244
H 4.8301 1.4959 6.2452
H 4.2546 3.4351 6.2452
Ir 1.9913 1.1497 2.1283
Ir 5.9738 3.4490 6.2413
```

Output
**V**: 115.0 Å³ per cell
**DFT total energy**: -4.47 eV/atom
**Total magnetization**: 0.00 μB per cell

---

Material: TcSn2HIr
Method: DFT, PBE
State: optimized geometry Values from VASP.

```
&SYSTEM
  ibrav = 0, nat = 5, ntyp = 4
/
ATOMIC_SPECIES
H 1.01 H.upf
Ir 192.22 Ir.upf
Sn 118.71 Sn.upf
Tc 98.00 Tc.upf
CELL_PARAMETERS angstrom
-4.0175 2.9699 -1.4770
0.9154 -0.3214 -3.1362
-2.9818 -4.2499 -0.4347
ATOMIC_POSITIONS angstrom
H 0.4577 -0.1607 -1.5681
Ir 0.0000 0.0000 0.0000
Sn -1.4909 -2.1249 -0.2174
Sn -2.0087 1.4849 -0.7385
Tc -3.0420 -0.8007 -2.5240
```

Output
**V**: 89.1 Å³ per cell
**DFT total energy**: -5.59 eV/atom
**Total magnetization**: 2.34 μB per cell

---

Material: Y2SnHIr
Method: DFT, PBE
State: optimized geometry Values from VASP.

```
&SYSTEM
  ibrav = 0, nat = 5, ntyp = 4
/
ATOMIC_SPECIES
Y 88.91 Y.upf
H 1.01 H.upf
Ir 192.22 Ir.upf
Sn 118.71 Sn.upf
CELL_PARAMETERS angstrom
5.5276 0.0000 0.0000
0.0000 3.5645 0.0000
0.0000 0.0000 5.5276
ATOMIC_POSITIONS angstrom
Y 0.0000 0.0000 2.7638
Y 2.7638 0.0000 0.0000
H 0.0000 1.7823 0.0000
Ir 0.0000 0.0000 0.0000
Sn 2.7638 1.7823 2.7638
```

Output
**V**: 108.9 Å³ per cell
**Distance to the lowest polymorph of the same formula**: 261 meV/atom
**DFT total energy**: -6.17 eV/atom
**Total magnetization**: 0.00 μB per cell

---

Material: YSnH6Ir2
Method: DFT, PBE
State: optimized geometry Values from VASP.

```
&SYSTEM
  ibrav = 0, nat = 20, ntyp = 4
/
ATOMIC_SPECIES
Y 88.91 Y.upf
Sn 118.71 Sn.upf
H 1.01 H.upf
Ir 192.22 Ir.upf
CELL_PARAMETERS angstrom
7.4062 -1.4286 -0.0120
-2.3246 7.1756 -0.0120
-1.5360 -1.7371 4.9921
ATOMIC_POSITIONS angstrom
Y -1.8198 5.9554 1.2360
Y 5.3655 -1.9455 3.7321
Sn 4.1094 0.7127 1.2360
Sn -0.5637 3.2972 3.7321
H -0.6306 2.7431 0.5364
H 1.5139 5.1685 1.9357
H 4.1763 1.2668 4.4318
H 2.0317 -1.1586 3.0324
H 1.2870 0.7748 0.4655
H 3.7023 3.5062 2.0066
H 2.2586 3.2351 4.5027
H -0.1566 0.5037 2.9615
H 0.8152 2.1723 2.0073
H 2.2574 3.8034 0.4648
H 2.7305 1.8376 2.9609
H 1.2882 0.2065 4.5033
Ir 0.8859 -1.3448 4.2572
Ir 4.2208 2.4267 3.2069
Ir 2.6597 5.3547 0.7109
Ir -0.6752 1.5832 1.7612
```

Output
**V**: 248.4 Å³ per cell
**DFT total energy**: -5.09 eV/atom
**Total magnetization**: 0.00 μB per cell

---

Material: Y2SnHIr
Method: DFT, PBE
State: optimized geometry Values from VASP.

```
&SYSTEM
  ibrav = 0, nat = 5, ntyp = 4
/
ATOMIC_SPECIES
Y 88.91 Y.upf
H 1.01 H.upf
Ir 192.22 Ir.upf
Sn 118.71 Sn.upf
CELL_PARAMETERS angstrom
-4.8472 -0.7885 -0.3234
0.2902 -3.2831 3.6550
-0.6363 2.8435 2.6047
ATOMIC_POSITIONS angstrom
Y 0.1451 -1.6415 1.8275
Y -2.4236 -0.3942 -0.1617
H 0.0000 0.0000 0.0000
Ir -0.3182 1.4217 1.3023
Sn -2.5967 -0.6140 2.9681
```

Output
**V**: 94.7 Å³ per cell
**Distance to the lowest polymorph of the same formula**: 0 meV/atom
**DFT total energy**: -6.43 eV/atom
**Total magnetization**: 0.00 μB per cell

---

Material: Zr2SnHIr
Method: DFT, PBE
State: optimized geometry Values from VASP.

```
&SYSTEM
  ibrav = 0, nat = 5, ntyp = 4
/
ATOMIC_SPECIES
H 1.01 H.upf
Ir 192.22 Ir.upf
Sn 118.71 Sn.upf
Zr 91.22 Zr.upf
CELL_PARAMETERS angstrom
-3.7892 0.3895 -2.2267
-2.1836 -1.7549 3.4088
-0.5482 3.7780 1.5938
ATOMIC_POSITIONS angstrom
H 0.0000 0.0000 0.0000
Ir -0.2741 1.8890 0.7969
Sn -3.2605 1.2063 1.3880
Zr -1.0918 -0.8775 1.7044
Zr -1.8946 0.1948 -1.1133
```

Output
**V**: 80.5 Å³ per cell
**DFT total energy**: -7.14 eV/atom
**Total magnetization**: 0.00 μB per cell

---

Material: SrH3Ir
Method: DFT, PBE
State: optimized geometry Values from VASP.

```
&SYSTEM
  ibrav = 0, nat = 20, ntyp = 3
/
ATOMIC_SPECIES
Sr 87.62 Sr.upf
Ir 192.22 Ir.upf
H 1.01 H.upf
CELL_PARAMETERS angstrom
-6.9068 -16.0797 2.5857
-0.3252 -0.6998 -5.2208
4.7568 4.8783 -0.9503
ATOMIC_POSITIONS angstrom
Sr -1.1091 -5.0381 -3.2568
Sr -1.3662 -6.8632 -0.3285
Sr -0.2912 -1.2625 -1.1464
Sr -2.1841 -10.6388 -2.4389
Ir 2.1318 1.4093 -1.6968
Ir -4.6070 -13.3106 -1.8885
Ir 1.2197 -2.8425 -3.7375
Ir -3.6950 -9.0588 0.1521
H 1.5335 -1.3929 -2.9694
H -4.0088 -10.5085 -0.6159
H 1.9377 0.2173 -0.5430
H -4.4129 -12.1186 -3.0423
H -0.7899 -3.8646 -0.7650
H -1.6853 -8.0367 -2.8203
H -0.6101 -2.4356 -3.6351
H -1.8651 -9.4657 0.0498
H -3.8903 -9.4134 -3.3284
H 1.4151 -2.4879 -0.2569
H -4.5181 -13.1850 -0.1163
H 2.0428 1.2837 -3.4690
```

Output
**V**: 228.3 Å³ per cell
**DFT total energy**: -4.47 eV/atom
**Total magnetization**: 0.00 μB per cell

---

Material: SrH3Ir
Method: DFT, PBE
State: optimized geometry Values from VASP.

```
&SYSTEM
  ibrav = 0, nat = 5, ntyp = 3
/
ATOMIC_SPECIES
Sr 87.62 Sr.upf
Ir 192.22 Ir.upf
H 1.01 H.upf
CELL_PARAMETERS angstrom
0.2081 -1.7300 3.9158
-2.1843 -3.1241 -1.9594
3.9334 -1.0270 -1.3580
ATOMIC_POSITIONS angstrom
Sr 0.9023 -2.7113 0.2759
Ir 1.8550 -5.5743 0.5673
H 2.7405 -2.1424 1.6502
H 1.2359 -3.0191 -2.0447
H -1.1069 -3.4613 1.2720
```

Output
**V**: 75.8 Å³ per cell
**DFT total energy**: -4.07 eV/atom
**Total magnetization**: 0.00 μB per cell

---

Material: SrH3Ir
Method: DFT, PBE
State: optimized geometry Values from VASP.

```
&SYSTEM
  ibrav = 0, nat = 20, ntyp = 3
/
ATOMIC_SPECIES
Sr 87.62 Sr.upf
Ir 192.22 Ir.upf
H 1.01 H.upf
CELL_PARAMETERS angstrom
-15.5516 -9.2759 3.7202
0.9936 0.1474 4.5212
3.4600 5.5204 -0.9404
ATOMIC_POSITIONS angstrom
Sr 0.2576 2.9262 0.9713
Sr -11.3556 -6.5342 6.3297
Sr -1.8761 0.8600 3.8798
Sr -9.2219 -4.4681 3.4212
Ir -4.6295 -1.2143 4.5894
Ir -6.4684 -2.3937 2.7115
Ir 3.0265 5.0028 0.3320
Ir -14.1244 -8.6108 6.9690
H -4.5956 -2.5434 5.7463
H -6.5024 -1.0646 1.5547
H 0.0021 0.8812 2.2520
H -11.1001 -4.4892 5.0490
H -4.0359 -0.5832 3.1840
H -7.0620 -3.0248 4.1169
H 2.9012 4.4412 3.8678
H -13.9991 -8.0492 3.4332
H -3.3945 -0.3896 5.3694
H -7.7034 -3.2185 1.9315
H 2.2432 4.2451 1.6071
H -13.3411 -7.8531 5.6938
```

Output
**V**: 255.0 Å³ per cell
**DFT total energy**: -4.50 eV/atom
**Total magnetization**: 0.00 μB per cell

---

Material: SrH3Ir
Method: DFT, PBE
State: optimized geometry Values from VASP.

```
&SYSTEM
  ibrav = 0, nat = 5, ntyp = 3
/
ATOMIC_SPECIES
Sr 87.62 Sr.upf
Ir 192.22 Ir.upf
H 1.01 H.upf
CELL_PARAMETERS angstrom
-0.8853 -2.4917 -3.1895
4.0460 -0.4577 -0.7654
0.1079 -3.2783 2.5311
ATOMIC_POSITIONS angstrom
Sr 0.0000 0.0000 0.0000
Ir 1.6343 -3.1139 -0.7119
H 2.0230 -0.2289 -0.3827
H 0.0540 -1.6392 1.2656
H -0.4426 -1.2459 -1.5948
```

Output
**V**: 71.1 Å³ per cell
**DFT total energy**: -2.93 eV/atom
**Total magnetization**: 1.76 μB per cell

---

Material: Sr2H4Ir
Method: DFT, PBE
State: optimized geometry Values from VASP.

```
&SYSTEM
  ibrav = 0, nat = 7, ntyp = 3
/
ATOMIC_SPECIES
Sr 87.62 Sr.upf
Ir 192.22 Ir.upf
H 1.01 H.upf
CELL_PARAMETERS angstrom
3.7492 0.0000 0.0000
0.0000 3.7492 0.0000
1.8746 1.8746 7.6783
ATOMIC_POSITIONS angstrom
Sr 1.8746 1.8746 1.9848
Sr 3.7492 3.7492 5.6935
Ir 0.0000 0.0000 0.0000
H 1.8746 1.8746 5.9582
H 3.7492 3.7492 1.7201
H 0.0000 1.8746 0.0000
H 1.8746 0.0000 0.0000
```

Output
**V**: 107.9 Å³ per cell
**Distance to the lowest polymorph of the same formula**: 51 meV/atom
**DFT total energy**: -4.12 eV/atom
**Total magnetization**: 0.00 μB per cell

---

Material: SrH3Ir
Method: DFT, PBE
State: optimized geometry Values from VASP.

```
&SYSTEM
  ibrav = 0, nat = 10, ntyp = 3
/
ATOMIC_SPECIES
Sr 87.62 Sr.upf
Ir 192.22 Ir.upf
H 1.01 H.upf
CELL_PARAMETERS angstrom
3.2066 -1.8513 0.0000
0.0000 3.7026 0.0000
0.0000 0.0000 10.1795
ATOMIC_POSITIONS angstrom
Sr 0.0000 0.0000 0.0000
Sr 0.0000 0.0000 5.0897
Ir 1.0689 1.8513 7.6346
Ir 2.1377 0.0000 2.5449
H 0.0000 0.0000 2.5449
H 0.0000 0.0000 7.6346
H 1.0689 1.8513 9.2995
H 1.0689 1.8513 5.9698
H 2.1377 0.0000 4.2097
H 2.1377 0.0000 0.8800
```

Output
**V**: 120.9 Å³ per cell
**DFT total energy**: -4.28 eV/atom
**Total magnetization**: 0.00 μB per cell

---

Material: SrH3Ir
Method: DFT, PBE
State: optimized geometry Values from VASP.

```
&SYSTEM
  ibrav = 0, nat = 10, ntyp = 3
/
ATOMIC_SPECIES
H 1.01 H.upf
Ir 192.22 Ir.upf
Sr 87.62 Sr.upf
CELL_PARAMETERS angstrom
-1.0233 -6.5425 -2.7534
4.9454 -2.7243 -3.7789
-0.8252 0.7837 4.4632
ATOMIC_POSITIONS angstrom
H 1.8585 -2.4396 -0.6201
H 2.6962 -7.4334 -2.4121
H 0.3009 -4.1590 -1.8020
H -0.7305 -5.5451 0.2173
H 1.8196 -4.9950 -2.9515
H 3.6803 -3.4453 -1.9912
Ir 1.9037 -3.7946 -1.8313
Ir 3.6353 -2.0910 -0.7793
Sr 4.0891 -5.6886 -3.7212
Sr 0.4266 -6.7396 -1.6426
```

Output
**V**: 128.9 Å³ per cell
**DFT total energy**: -4.55 eV/atom
**Total magnetization**: 0.00 μB per cell

---

Material: SrH3Ir
Method: DFT, PBE
State: optimized geometry Values from VASP.

```
&SYSTEM
  ibrav = 0, nat = 20, ntyp = 3
/
ATOMIC_SPECIES
Sr 87.62 Sr.upf
Ir 192.22 Ir.upf
H 1.01 H.upf
CELL_PARAMETERS angstrom
0.0000 4.9262 4.9262
4.9262 0.0000 4.9262
4.9262 4.9262 0.0000
ATOMIC_POSITIONS angstrom
Sr 1.2316 1.2316 1.2316
Sr 3.6947 1.2316 3.6947
Sr 1.2316 3.6947 3.6947
Sr 3.6947 3.6947 1.2316
Ir 6.1578 6.1578 6.1578
Ir 3.6947 6.1578 3.6947
Ir 6.1578 3.6947 3.6947
Ir 3.6947 3.6947 6.1578
H 3.2171 4.9262 4.9262
H 5.6802 7.3893 7.3893
H 7.3893 7.3893 5.6802
H 9.0985 7.3893 7.3893
H 7.3893 9.0985 7.3893
H 4.9262 6.6354 4.9262
H 7.3893 5.6802 7.3893
H 7.3893 7.3893 9.0985
H 4.9262 3.2171 4.9262
H 6.6354 4.9262 4.9262
H 4.9262 4.9262 3.2171
H 4.9262 4.9262 6.6354
```

Output
**V**: 239.1 Å³ per cell
**DFT total energy**: -4.25 eV/atom
**Total magnetization**: 0.00 μB per cell

---

Material: SrH5Ir
Method: DFT, PBE
State: optimized geometry Values from VASP.

```
&SYSTEM
  ibrav = 0, nat = 14, ntyp = 3
/
ATOMIC_SPECIES
Sr 87.62 Sr.upf
H 1.01 H.upf
Ir 192.22 Ir.upf
CELL_PARAMETERS angstrom
5.4250 0.7978 1.8722
0.5916 5.4514 1.8722
1.6449 1.7085 6.1679
ATOMIC_POSITIONS angstrom
Sr 1.7407 2.1576 2.4781
Sr 5.9208 5.8001 7.4342
H 1.0111 5.8762 3.4180
H 2.8000 5.2821 4.8612
H 4.2394 4.4142 6.5020
H 5.2842 4.7669 4.3502
H 4.0836 1.7784 1.9671
H 3.5779 6.1792 7.9451
H 2.3773 3.1908 5.5620
H 3.4221 3.5435 3.4103
H 4.8615 2.6756 5.0511
H 6.6504 2.0815 6.4942
Ir 0.0000 0.0000 0.0000
Ir 3.8307 3.9788 4.9561
```

Output
**V**: 149.7 Å³ per cell
**DFT total energy**: -4.21 eV/atom
**Total magnetization**: 0.00 μB per cell

---

Material: SrH3Ir
Method: DFT, PBE
State: optimized geometry Values from VASP.

```
&SYSTEM
  ibrav = 0, nat = 10, ntyp = 3
/
ATOMIC_SPECIES
H 1.01 H.upf
Ir 192.22 Ir.upf
Sr 87.62 Sr.upf
CELL_PARAMETERS angstrom
4.2672 0.0002 0.0004
2.1367 6.2128 -0.0008
-0.0007 0.0012 4.7915
ATOMIC_POSITIONS angstrom
H 2.2766 1.8985 2.1576
H 0.3312 0.2674 4.5540
H 2.4608 1.9011 4.6737
H 0.1472 0.2654 2.2786
H 2.9925 4.1919 4.6174
H 1.7542 4.1867 2.2218
Ir 2.3713 3.0809 1.0207
Ir 2.3745 5.2974 3.4165
Sr 4.5093 5.8172 1.0207
Sr 4.5034 2.5613 3.4166
```

Output
**V**: 127.0 Å³ per cell
**DFT total energy**: -4.58 eV/atom
**Total magnetization**: 0.00 μB per cell

---

Material: SrH8Ir2
Method: DFT, PBE
State: optimized geometry Values from VASP.

```
&SYSTEM
  ibrav = 0, nat = 11, ntyp = 3
/
ATOMIC_SPECIES
Sr 87.62 Sr.upf
H 1.01 H.upf
Ir 192.22 Ir.upf
CELL_PARAMETERS angstrom
4.9678 0.0678 -0.0360
-0.0745 4.5090 -1.5420
0.0242 0.6066 4.7272
ATOMIC_POSITIONS angstrom
Sr 0.4440 0.8204 0.5037
H 1.9285 0.6057 3.3349
H 1.8607 3.2865 -0.9717
H 4.0738 2.7364 1.6392
H 3.9709 0.6321 3.3219
H 3.9031 3.3153 -0.9886
H 1.7474 2.7054 1.6566
H 2.9125 1.5209 -0.3685
H 2.9413 0.3821 1.4609
Ir 2.8951 3.0703 0.2496
Ir 2.9318 1.6204 2.5786
```

Output
**V**: 110.6 Å³ per cell
**DFT total energy**: -4.41 eV/atom
**Total magnetization**: 0.00 μB per cell

---

Material: SrH3Ir
Method: DFT, PBE
State: optimized geometry Values from VASP.

```
&SYSTEM
  ibrav = 0, nat = 5, ntyp = 3
/
ATOMIC_SPECIES
Sr 87.62 Sr.upf
Ir 192.22 Ir.upf
H 1.01 H.upf
CELL_PARAMETERS angstrom
-1.3653 2.1047 2.8347
-0.7343 -3.1421 1.9793
3.4534 0.1640 1.5416
ATOMIC_POSITIONS angstrom
Sr 0.6769 -0.4367 3.1778
Ir 0.0000 0.0000 0.0000
H -0.3672 -1.5710 0.9896
H 1.7267 0.0820 0.7708
H -0.6827 1.0524 1.4174
```

Output
**V**: 54.2 Å³ per cell
**DFT total energy**: -4.58 eV/atom
**Total magnetization**: 0.00 μB per cell

---

Material: SrH3Ir
Method: DFT, PBE
State: optimized geometry Values from VASP.

```
&SYSTEM
  ibrav = 0, nat = 10, ntyp = 3
/
ATOMIC_SPECIES
Sr 87.62 Sr.upf
Ir 192.22 Ir.upf
H 1.01 H.upf
CELL_PARAMETERS angstrom
-10.6392 6.4497 -3.9838
-5.0997 0.5699 -3.9948
3.3404 -3.0560 4.6683
ATOMIC_POSITIONS angstrom
Sr -5.6176 2.2734 0.9406
Sr -6.7809 1.6901 -4.2509
Ir -11.5742 4.6474 -5.8559
Ir -0.8243 -0.6838 2.5456
H -7.1963 2.9671 -0.6225
H -5.2022 0.9965 -2.6878
H 0.5073 -1.7006 2.2709
H -12.9058 5.6641 -5.5811
H -7.7892 2.8976 -2.4278
H -4.6092 1.0659 -0.8825
```

Output
**V**: 114.6 Å³ per cell
**DFT total energy**: -4.34 eV/atom
**Total magnetization**: 0.00 μB per cell